[1]
Here is a relaxed ErBr2 crystal from OQMD via LeMat-Bulk. Energies are from GGA-PBE.

Summary:
Crystal system: cubic
Theoretical density (g/cm³): 2.279
Total energy (eV/atom): -3.6872

Cell lengths 8.7673, 8.7673, 8.7673 Å; angles 60.00, 60.00, 60.00 degrees
Site moments in Bohr magnetons follow the coordinates.
Fractional positions:
Er 0.5000 0.5000 0.5000  0.67
Er 0.7500 0.7500 0.7500  0.67
Br 0.6250 0.1250 0.6250  0.00
Br 0.6250 0.6250 0.1250  0.00
Br 0.6250 0.6250 0.6250  0.00
Br 0.1250 0.6250 0.6250  -0.01


[2]
Here is a relaxed LaTb2Sn3Pb4 crystal from OQMD via LeMat-Bulk. Energies are from GGA-PBE.

Summary:
Crystal system: orthorhombic
Theoretical density (g/cm³): 9.612
E above lowest polymorph (meV/atom): 5

Cell lengths 13.0357, 13.0357, 4.6980 Å; angles 90.00, 90.00, 159.19 degrees
Fractional positions:
Pb 0.5976 0.4024 0.0000
Pb 0.4024 0.5976 0.0000
Pb 0.2943 0.7057 0.5000
Pb 0.7057 0.2943 0.5000
Sn 0.5000 0.5000 0.5000
Sn 0.9016 0.0984 0.5000
Sn 0.0984 0.9016 0.5000
La 0.0000 0.0000 0.0000
Tb 0.8130 0.1870 0.0000
Tb 0.1870 0.8130 0.0000


[3]
Here is a relaxed NaTlCoBi crystal from OQMD via LeMat-Bulk. Energies are from GGA-PBE.

Summary:
Crystal system: cubic
Theoretical density (g/cm³): 8.441
E above lowest polymorph (meV/atom): 156

Cell lengths 5.1650, 5.1650, 5.1650 Å; angles 60.00, 60.00, 60.00 degrees
Fractional positions:
Na 0.7500 0.7500 0.7500
Bi 0.2500 0.2500 0.2500
Tl 0.5000 0.5000 0.5000
Co 0.0000 0.0000 0.0000


- Among the records above, which one has the lowest theoretical density?
  ErBr2


Repeat the third record exactly.
Here is a relaxed NaTlCoBi crystal from OQMD via LeMat-Bulk. Energies are from GGA-PBE.

Summary:
Crystal system: cubic
Theoretical density (g/cm³): 8.441
E above lowest polymorph (meV/atom): 156

Cell lengths 5.1650, 5.1650, 5.1650 Å; angles 60.00, 60.00, 60.00 degrees
Fractional positions:
Na 0.7500 0.7500 0.7500
Bi 0.2500 0.2500 0.2500
Tl 0.5000 0.5000 0.5000
Co 0.0000 0.0000 0.0000